This record from Alexandria describes a relaxed ZnAg2P crystal. The functional is PBE.

Summary:
- E_form: 20.1 kJ per mole of atoms
- Uncorrected energy: -2.89 eV per atom
- Relative energy among the computed polymorphs: 0.045 eV/atom

abc: 2.840 2.840 8.280
angles: 90.00 90.00 90.00
Atoms (fractional coordinates):
Ag1 0.500 0.500 0.254
Ag2 0.000 0.000 0.985
Zn1 0.500 0.500 0.743
P1 0.000 0.000 0.518

---

This record from Alexandria describes a relaxed V3Mo crystal. The functional is PBE.

Summary:
- E_form: -5.2 kJ per mole of atoms
- Uncorrected energy: -9.60 eV per atom
- Relative energy among the computed polymorphs: 0.025 eV/atom

abc: 6.074 5.273 5.273
angles: 70.31 54.83 54.83
Atoms (fractional coordinates):
V1 0.250 0.250 0.750
V2 0.250 0.750 0.750
V3 0.750 0.250 0.250
V4 0.750 0.750 0.250
V5 0.750 0.250 0.750
V6 0.250 0.750 0.250
Mo1 0.750 0.750 0.750
Mo2 0.250 0.250 0.250

---

This record from Alexandria describes a relaxed Sm5Te3 crystal. The functional is PBE.

Summary:
- Uncorrected energy: -5.16 eV per atom

abc: 6.281 9.231 9.231
angles: 120.00 90.00 90.00
Atoms (fractional coordinates):
Te1 0.250 0.384 0.000
Te2 0.750 0.000 0.616
Te3 0.250 0.616 0.616
Te4 0.750 0.384 0.384
Te5 0.750 0.616 0.000
Te6 0.250 0.000 0.384
Sm1 0.250 0.257 0.257
Sm2 0.000 0.667 0.333
Sm3 0.250 0.000 0.743
Sm4 0.500 0.333 0.667
Sm5 0.500 0.667 0.333
Sm6 0.750 0.743 0.743
Sm7 0.250 0.743 0.000
Sm8 0.000 0.333 0.667
Sm9 0.750 0.257 0.000
Sm10 0.750 0.000 0.257